Here is crystalline Cu3AgPt at its relaxed geometry from Alexandria via LeMat-Bulk. Energies are from PBE.

Properties
Offset from the most stable computed form, eV/atom: 0.778
SG: Pm-3m
Density of states at the Fermi level, states/eV per atom: 0.414

a b c (Å): 4.6951 4.6951 4.6951
angles (deg): 90.00 90.00 90.00
With the nearest neighbours (Å) after each atom.
Fractional positions:
Cu 0.0000 0.0000 0.5000  2 Pt 2.35
Cu 0.0000 0.5000 0.0000  2 Pt 2.35
Cu 0.5000 0.0000 0.0000  2 Pt 2.35
Ag 0.5000 0.5000 0.5000  12 Cu 3.32
Pt 0.0000 0.0000 0.0000  6 Cu 2.35



Here is crystalline Tl2CdBr at its relaxed geometry from Alexandria via LeMat-Bulk. Energies are from PBE.

Properties
Energy relative to the elements, uncorrected, eV per atom: -0.271
Offset from the most stable computed form, eV/atom: 0.025
SG: Cm
Density of states at the Fermi level, states/eV per atom: 0.367

a b c (Å): 6.4055 6.4055 5.5873
angles (deg): 95.12 95.12 32.97
With the nearest neighbours (Å) after each atom.
Fractional positions:
Tl 0.0000 0.0000 0.0000  3 Cd 3.18-3.48, 4 Br 3.32-3.35
Tl 0.2459 0.2459 0.5030  3 Br 3.17-3.48, 4 Cd 3.32-3.34
Cd 0.7414 0.7414 0.0040  7 Tl 3.18-3.48
Br 0.5043 0.5043 0.5045  7 Tl 3.17-3.48



Here is crystalline Sr2Hg6Pb at its relaxed geometry from Alexandria via LeMat-Bulk. Energies are from PBE.

Properties
Offset from the most stable computed form, eV/atom: 0.000
SG: C2/m
Density of states at the Fermi level, states/eV per atom: 0.392

a b c (Å): 6.9110 6.9110 6.3583
angles (deg): 90.01 90.01 59.96
With the nearest neighbours (Å) after each atom.
Fractional positions:
Sr 0.1669 0.1669 0.1740  12 Hg 3.60-3.70
Sr 0.8331 0.8331 0.8260  12 Hg 3.60-3.70
Hg 0.1318 0.6837 0.3350  4 Hg 3.05-3.10, 1 Pb 3.06
Hg 0.3151 0.3151 0.6661  4 Hg 3.05-3.08, 1 Pb 3.07
Hg 0.3163 0.8682 0.6650  4 Hg 3.05-3.10, 1 Pb 3.06
Hg 0.6837 0.1318 0.3350  4 Hg 3.05-3.10, 1 Pb 3.06
Hg 0.6849 0.6849 0.3339  4 Hg 3.05-3.08, 1 Pb 3.07
Hg 0.8682 0.3163 0.6650  4 Hg 3.05-3.10, 1 Pb 3.06
Pb 0.5000 0.5000 0.0000  6 Hg 3.06-3.07



Here is crystalline KCd3Sb3 at its relaxed geometry from Alexandria via LeMat-Bulk. Energies are from PBE.

Properties
Energy relative to the elements, uncorrected, eV per atom: -0.082
Offset from the most stable computed form, eV/atom: 0.015
SG: Pm-3n
Density of states at the Fermi level, states/eV per atom: 0.784

a b c (Å): 8.0591 8.0591 8.0591
angles (deg): 90.00 90.00 90.00
With the nearest neighbours (Å) after each atom.
Fractional positions:
K 0.0000 0.0000 0.0000  12 Cd 4.51, 12 Sb 4.51
K 0.5000 0.5000 0.5000  12 Cd 4.51, 12 Sb 4.51
Cd 0.0000 0.2500 0.5000  4 Sb 2.85
Cd 0.0000 0.7500 0.5000  4 Sb 2.85
Cd 0.2500 0.5000 0.0000  4 Sb 2.85
Cd 0.5000 0.0000 0.2500  4 Sb 2.85
Cd 0.5000 0.0000 0.7500  4 Sb 2.85
Cd 0.7500 0.5000 0.0000  4 Sb 2.85
Sb 0.0000 0.5000 0.2500  4 Cd 2.85
Sb 0.0000 0.5000 0.7500  4 Cd 2.85
Sb 0.2500 0.0000 0.5000  4 Cd 2.85
Sb 0.5000 0.2500 0.0000  4 Cd 2.85
Sb 0.5000 0.7500 0.0000  4 Cd 2.85
Sb 0.7500 0.0000 0.5000  4 Cd 2.85



Here is crystalline RePtN at its relaxed geometry from Alexandria via LeMat-Bulk. Energies are from PBE.

Properties
Energy relative to the elements, uncorrected, eV per atom: 0.009
Offset from the most stable computed form, eV/atom: 0.000
SG: P3m1
Density of states at the Fermi level, states/eV per atom: 0.986

a b c (Å): 2.8128 2.8128 5.5772
angles (deg): 90.00 90.00 120.00
With the nearest neighbours (Å) after each atom.
Fractional positions:
Re 0.0000 0.0000 0.0000  3 N 2.05
Pt 0.3333 0.6667 0.3994  1 N 2.10
N 0.3333 0.6667 0.7758  3 Re 2.05, 1 Pt 2.10



Here is crystalline CaZrSiMo2 at its relaxed geometry from Alexandria via LeMat-Bulk. Energies are from PBE.

Properties
Energy relative to the elements, uncorrected, eV per atom: 0.784
SG: P4/mmm
Density of states at the Fermi level, states/eV per atom: 1.780

a b c (Å): 4.6422 4.6422 5.0413
angles (deg): 90.00 90.00 90.00
With the nearest neighbours (Å) after each atom.
Fractional positions:
Ca 0.0000 0.0000 0.0000  2 Si 2.52
Zr 0.5000 0.5000 0.0000  4 Ca 3.28, 8 Mo 3.43
Si 0.0000 0.0000 0.5000  4 Mo 2.32, 2 Ca 2.52
Mo 0.0000 0.5000 0.5000  2 Si 2.32
Mo 0.5000 0.0000 0.5000  2 Si 2.32



Here is crystalline K4Cd3AgCl12 at its relaxed geometry from Alexandria via LeMat-Bulk. Energies are from PBE.

Properties
Energy relative to the elements, uncorrected, eV per atom: -1.287
SG: Im-3m
Density of states at the Fermi level, states/eV per atom: 0.391

a b c (Å): 9.0582 9.0582 9.0582
angles (deg): 109.47 109.47 109.47
With the nearest neighbours (Å) after each atom.
Fractional positions:
K 0.0000 0.0000 0.5000  12 Cl 3.70
K 0.0000 0.5000 0.0000  12 Cl 3.70
K 0.5000 0.0000 0.0000  12 Cl 3.70
K 0.5000 0.5000 0.5000  12 Cl 3.70
Cd 0.0000 0.5000 0.5000  6 Cl 2.61
Cd 0.5000 0.0000 0.5000  6 Cl 2.61
Cd 0.5000 0.5000 0.0000  6 Cl 2.61
Ag 0.0000 0.0000 0.0000  6 Cl 2.62
Cl 0.0000 0.2509 0.2509  1 Cd 2.61, 1 Ag 2.62
Cl 0.0000 0.7491 0.7491  1 Cd 2.61, 1 Ag 2.62
Cl 0.2500 0.5000 0.7500  2 Cd 2.61
Cl 0.2500 0.7500 0.5000  2 Cd 2.61
Cl 0.2509 0.0000 0.2509  1 Cd 2.61, 1 Ag 2.62
Cl 0.2509 0.2509 0.0000  1 Cd 2.61, 1 Ag 2.62
Cl 0.5000 0.2500 0.7500  2 Cd 2.61
Cl 0.5000 0.7500 0.2500  2 Cd 2.61
Cl 0.7491 0.0000 0.7491  1 Cd 2.61, 1 Ag 2.62
Cl 0.7491 0.7491 0.0000  1 Cd 2.61, 1 Ag 2.62
Cl 0.7500 0.2500 0.5000  2 Cd 2.61
Cl 0.7500 0.5000 0.2500  2 Cd 2.61



Here is crystalline Li4Ag5Pb at its relaxed geometry from Alexandria via LeMat-Bulk. Energies are from PBE.

Properties
Offset from the most stable computed form, eV/atom: 0.049
SG: I4
Density of states at the Fermi level, states/eV per atom: 0.340

a b c (Å): 6.4797 6.4797 6.4797
angles (deg): 100.03 100.03 130.67
With the nearest neighbours (Å) after each atom.
Fractional positions:
Li 0.1344 0.7411 0.8756  5 Ag 2.54-2.83
Li 0.2589 0.1344 0.3933  5 Ag 2.54-2.83
Li 0.7411 0.8656 0.6067  5 Ag 2.54-2.83
Li 0.8656 0.2589 0.1244  5 Ag 2.54-2.83
Ag 0.1628 0.4450 0.5914  4 Li 2.54-2.83, 1 Ag 2.78
Ag 0.4450 0.8536 0.2821  4 Li 2.54-2.83, 1 Ag 2.78
Ag 0.5714 0.1628 0.7179  4 Li 2.54-2.83, 1 Ag 2.78
Ag 0.7800 0.7800 0.0000  2 Pb 2.64-2.77, 4 Li 2.70
Ag 0.8536 0.5714 0.4086  4 Li 2.54-2.83, 1 Ag 2.78
Pb 0.2919 0.2919 0.0000  2 Ag 2.64-2.77, 4 Li 2.90



Here is crystalline BaHfPb3 at its relaxed geometry from Alexandria via LeMat-Bulk. Energies are from PBE.

Properties
Offset from the most stable computed form, eV/atom: 1.595
SG: Pm-3m
Density of states at the Fermi level, states/eV per atom: 0.693

a b c (Å): 6.0512 6.0512 6.0512
angles (deg): 90.00 90.00 90.00
With the nearest neighbours (Å) after each atom.
Fractional positions:
Ba 0.0000 0.0000 0.0000  6 Pb 3.03
Hf 0.5000 0.5000 0.5000  12 Pb 4.28
Pb 0.0000 0.0000 0.5000  2 Ba 3.03
Pb 0.0000 0.5000 0.0000  2 Ba 3.03
Pb 0.5000 0.0000 0.0000  2 Ba 3.03



Here is crystalline Nd2Dy5Mg at its relaxed geometry from Alexandria via LeMat-Bulk. Energies are from PBE.

Properties
Total DFT energy (no corrections), eV for the cell shown: -34.03
SG: I4/mmm
Density of states at the Fermi level, states/eV per atom: 0.994

a b c (Å): 7.0948 7.0948 7.0948
angles (deg): 120.52 120.52 89.10
With the nearest neighbours (Å) after each atom.
Fractional positions:
Nd 0.0000 0.5000 0.5000  10 Dy 3.52-3.55, 2 Mg 3.52
Nd 0.5000 0.0000 0.5000  10 Dy 3.52-3.55, 2 Mg 3.52
Dy 0.0000 0.0000 0.0000  4 Nd 3.52, 8 Dy 3.55
Dy 0.0000 0.0000 0.5000  6 Dy 3.52-3.55, 2 Mg 3.55, 4 Nd 3.55
Dy 0.0000 0.5000 0.0000  6 Dy 3.52-3.55, 2 Mg 3.55, 4 Nd 3.55
Dy 0.5000 0.0000 0.0000  6 Dy 3.52-3.55, 2 Mg 3.55, 4 Nd 3.55
Dy 0.5000 0.5000 0.5000  6 Dy 3.52-3.55, 2 Mg 3.55, 4 Nd 3.55
Mg 0.5000 0.5000 0.0000  4 Nd 3.52, 8 Dy 3.55



| no. | total magnetic moment (μB/atom) |
| --- | --- |
| 1 | 0.0000 |
| 2 | 0.0000 |
| 3 | 0.0000 |
| 4 | 0.0000 |
| 5 | 0.0000 |
| 6 | 0.0000 |
| 7 | 0.0000 |
| 8 | 0.0000 |
| 9 | 0.0000 |
| 10 | 0.0000 |